(1)
DFT (GGA-PBE) results for a geometry-optimized Nb2Si2Os3 structure.

a = 7.428 Å, b = 7.428 Å, c = 7.428 Å
α = 33.59°, β = 33.59°, γ = 33.59°
Sites, in units of the cell vectors:
Nb1 0.000 0.000 0.000
Nb2 0.488 0.488 0.488
Si1 0.236 0.236 0.236
Si2 0.748 0.748 0.748
Os1 0.366 0.366 0.366
Os2 0.616 0.616 0.616
Os3 0.870 0.870 0.870

Values from the calculation:
As for the total magnetization: 0.00 μB per cell.



(2)
DFT (GGA-PBE) results for a geometry-optimized YFeCuPb structure.

a = 4.780 Å, b = 4.780 Å, c = 4.780 Å
α = 60.00°, β = 60.00°, γ = 60.00°
Sites, in units of the cell vectors:
Y1 0.000 0.000 0.000
Fe1 0.750 0.750 0.750
Cu1 0.500 0.500 0.500
Pb1 0.250 0.250 0.250

Values from the calculation:
As for the total magnetization: 2.44 μB per cell. Its offset from the most stable computed form is 210 meV per atom.



(3)
DFT (GGA-PBE) results for a geometry-optimized ScAg2Au structure.

a = 4.885 Å, b = 5.841 Å, c = 5.134 Å
α = 90.00°, β = 90.00°, γ = 90.00°
Sites, in units of the cell vectors:
Sc1 0.250 0.250 0.140
Sc2 0.750 0.750 0.860
Ag1 0.250 0.502 0.649
Ag2 0.250 0.998 0.649
Ag3 0.750 0.002 0.351
Ag4 0.750 0.498 0.351
Au1 0.250 0.750 0.149
Au2 0.750 0.250 0.851

Values from the calculation:
As for the total magnetization: 0.00 μB per cell. The energy of formation from the pure elements comes out at -0.41 eV per atom. Its offset from the most stable computed form is 0 meV per atom.



(4)
DFT (GGA-PBE) results for a geometry-optimized Pr2CdB2 structure.

a = 9.961 Å, b = 5.466 Å, c = 10.956 Å
α = 64.96°, β = 29.81°, γ = 85.23°
Sites, in units of the cell vectors:
Pr1 0.050 0.450 0.103
Pr2 0.147 0.853 0.200
Pr3 0.450 0.050 0.397
Pr4 0.853 0.147 0.800
Cd1 0.261 0.261 0.739
Cd2 0.511 0.511 0.989
B1 0.100 0.920 0.468
B2 0.739 0.782 0.330
B3 0.782 0.739 0.150
B4 0.920 0.100 0.511

Values from the calculation:
As for the total magnetization: 0.01 μB per cell.



(5)
DFT (GGA-PBE) results for a geometry-optimized TmZrAg4 structure.

a = 3.613 Å, b = 3.613 Å, c = 9.108 Å
α = 90.00°, β = 90.00°, γ = 90.00°
Sites, in units of the cell vectors:
Tm1 0.000 0.000 0.000
Zr1 0.500 0.500 0.500
Ag1 0.000 0.000 0.333
Ag2 0.000 0.000 0.667
Ag3 0.500 0.500 0.173
Ag4 0.500 0.500 0.827

Values from the calculation:
As for the total magnetization: 0.43 μB per cell. The energy of formation from the pure elements comes out at -0.20 eV per atom.



(6)
DFT (GGA-PBE) results for a geometry-optimized BaTlPt2Pb structure.

a = 4.936 Å, b = 4.936 Å, c = 10.804 Å
α = 90.00°, β = 90.00°, γ = 90.00°
Sites, in units of the cell vectors:
Ba1 0.250 0.250 0.231
Ba2 0.750 0.750 0.769
Tl1 0.250 0.250 0.879
Tl2 0.750 0.750 0.121
Pt1 0.250 0.250 0.626
Pt2 0.250 0.750 0.000
Pt3 0.750 0.250 0.000
Pt4 0.750 0.750 0.374
Pb1 0.250 0.750 0.500
Pb2 0.750 0.250 0.500

Values from the calculation:
As for the total magnetization: 0.01 μB per cell.



(7)
DFT (GGA-PBE) results for a geometry-optimized BeSi2Ir structure.

a = 4.147 Å, b = 4.147 Å, c = 4.147 Å
α = 60.00°, β = 60.00°, γ = 60.00°
Sites, in units of the cell vectors:
Be1 0.000 0.000 0.000
Si1 0.500 0.500 0.500
Si2 0.750 0.750 0.750
Ir1 0.250 0.250 0.250

Values from the calculation:
As for the total magnetization: 0.00 μB per cell.



(8)
DFT (GGA-PBE) results for a geometry-optimized SmGdIn2Pt4 structure.

a = 4.604 Å, b = 4.604 Å, c = 9.137 Å
α = 90.00°, β = 90.00°, γ = 120.00°
Sites, in units of the cell vectors:
Sm1 0.000 0.000 0.000
Gd1 0.333 0.667 0.500
In1 0.667 0.333 0.252
In2 0.667 0.333 0.748
Pt1 0.000 0.000 0.342
Pt2 0.000 0.000 0.658
Pt3 0.333 0.667 0.161
Pt4 0.333 0.667 0.839

Values from the calculation:
As for the total magnetization: 0.00 μB per cell.



(9)
DFT (GGA-PBE) results for a geometry-optimized PuPtW structure.

a = 4.413 Å, b = 4.413 Å, c = 4.413 Å
α = 60.00°, β = 60.00°, γ = 60.00°
Sites, in units of the cell vectors:
Pu1 0.000 0.000 0.000
Pt1 0.750 0.750 0.750
W1 0.250 0.250 0.250

Values from the calculation:
As for the total magnetization: 0.03 μB per cell. The energy of formation from the pure elements comes out at 1.00 eV per atom. Its offset from the most stable computed form is 151 meV per atom.



no.,E (Ha/atom)
1,-0.351
2,-0.193
3,-0.155
4,-0.168
5,-0.156
6,-0.164
7,-0.212
8,-0.214
9,-0.369